Material: Na2CrHgO
Method: DFT, PBE with a Hubbard U
State: optimized geometry

Unit cell a=4.9117 b=4.9117 c=4.0455 alpha=90.00 beta=90.00 gamma=90.00
Closest atoms and distances in Å follow each position.
Fractional coordinates of all 5 atoms:
Na1 0.0000 0.5000 0.0000  2 O 2.46
Na2 0.5000 0.0000 0.0000  2 O 2.46
Cr1 0.0000 0.0000 0.5000  2 O 2.02
Hg1 0.5000 0.5000 0.5000  8 Na 3.18, 4 Cr 3.47
O1 0.0000 0.0000 0.0000  2 Cr 2.02

Mass density ... 5.4 g cm⁻³
Space group ... No. 123
Raw total energy ... -3.743 eV per atom

=====

Material: LiUCrO5
Method: DFT, PBE with a Hubbard U
State: optimized geometry

Unit cell a=5.5298 b=5.5298 c=7.6149 alpha=102.77 beta=102.77 gamma=107.82
Closest atoms and distances in Å follow each position.
Fractional coordinates of all 16 atoms:
Li1 0.0613 0.9387 0.7500  4 O 1.89-1.90
Li2 0.9387 0.0613 0.2500  4 O 1.89-1.90
U1 0.0000 0.5000 0.0000  4 O 2.02
U2 0.5000 0.0000 0.5000  4 O 2.02
Cr1 0.3919 0.6081 0.7500  5 O 2.01-2.04
Cr2 0.6081 0.3919 0.2500  5 O 2.01-2.04
O1 0.1561 0.3130 0.8230  1 Li 1.89, 1 U 2.02, 1 Cr 2.02
O2 0.2041 0.7714 0.5757  1 Li 1.90, 1 U 2.02, 1 Cr 2.04
O3 0.2286 0.7959 0.9243  1 Li 1.90, 1 U 2.02, 1 Cr 2.04
O4 0.3130 0.1561 0.3230  1 Li 1.89, 1 U 2.02, 1 Cr 2.02
O5 0.3834 0.6166 0.2500  1 Cr 2.01
O6 0.6166 0.3834 0.7500  1 Cr 2.01
O7 0.6869 0.8439 0.6770  1 Li 1.89, 1 U 2.02, 1 Cr 2.02
O8 0.7714 0.2041 0.0757  1 Li 1.90, 1 U 2.02, 1 Cr 2.04
O9 0.7959 0.2286 0.4243  1 Li 1.90, 1 U 2.02, 1 Cr 2.04
O10 0.8439 0.6869 0.1770  1 Li 1.89, 1 U 2.02, 1 Cr 2.02

Mass density ... 6.1 g cm⁻³
Space group ... No. 15
Raw total energy ... -8.068 eV per atom